No. 1
This record from the Alexandria database describes crystalline ZrTcAg4 at its relaxed geometry. The functional is PBE.

Unit cell a=5.3674 b=5.3674 c=5.3674 alpha=60.00 beta=60.00 gamma=60.00
With the nearest neighbours (Å) after each atom.
Fractional positions:
Zr  0.0000  0.0000  0.0000  12 Ag 3.15, 4 Tc 3.29
Tc  0.7500  0.7500  0.7500  12 Ag 3.15, 4 Zr 3.29
Ag  0.3751  0.3751  0.3751  6 Ag 2.68-2.69
Ag  0.3751  0.3751  0.8746  6 Ag 2.68-2.69
Ag  0.3751  0.8746  0.3751  6 Ag 2.68-2.69
Ag  0.8746  0.3751  0.3751  6 Ag 2.68-2.69

Summary:
Symmetry: F-43m, No. 216



No. 2
This record from the Alexandria database describes crystalline ZrTc2Ag at its relaxed geometry. The functional is PBE.

Unit cell a=2.8019 b=2.8019 c=9.1529 alpha=90.00 beta=90.00 gamma=107.91
With the nearest neighbours (Å) after each atom.
Fractional positions:
Zr  0.0000  0.0000  0.0000  4 Zr 2.80, 2 Tc 2.82, 2 Ag 3.01
Tc  0.0000  0.0000  0.4662  6 Tc 2.58-2.80, 2 Ag 2.88
Tc  0.5000  0.5000  0.2498  6 Tc 2.58-2.80, 2 Zr 2.82
Ag  0.5000  0.5000  0.7244  4 Ag 2.80, 2 Tc 2.88, 2 Zr 3.01

Summary:
Symmetry: Cmm2, No. 35



No. 3
This record from the Alexandria database describes crystalline ZrTc3Ag at its relaxed geometry. The functional is PBE.

Unit cell a=4.7779 b=4.7779 c=4.7779 alpha=90.00 beta=90.00 gamma=90.00
With the nearest neighbours (Å) after each atom.
Fractional positions:
Zr  0.0000  0.0000  0.0000  6 Tc 2.39
Tc  0.0000  0.0000  0.5000  2 Zr 2.39
Tc  0.0000  0.5000  0.0000  2 Zr 2.39
Tc  0.5000  0.0000  0.0000  2 Zr 2.39
Ag  0.5000  0.5000  0.5000  12 Tc 3.38

Summary:
Symmetry: Pm-3m, No. 221



No. 4
This record from the Alexandria database describes crystalline Zr3Tc2Ag at its relaxed geometry. The functional is PBE.

Unit cell a=3.3048 b=3.3048 c=10.4221 alpha=90.00 beta=90.00 gamma=90.00
With the nearest neighbours (Å) after each atom.
Fractional positions:
Zr  0.0000  0.0000  0.0000  8 Tc 2.89, 2 Zr 3.23
Zr  0.0000  0.0000  0.3094  4 Tc 2.79, 4 Ag 3.07
Zr  0.0000  0.0000  0.6906  4 Tc 2.79, 4 Ag 3.07
Tc  0.5000  0.5000  0.1629  8 Zr 2.79-2.89
Tc  0.5000  0.5000  0.8371  8 Zr 2.79-2.89
Ag  0.5000  0.5000  0.5000  8 Zr 3.07, 4 Ag 3.30

Summary:
Symmetry: P4/mmm, No. 123



No. 5
This record from the Alexandria database describes crystalline ZrTcAg2 at its relaxed geometry. The functional is PBE.

Unit cell a=10.8172 b=10.8172 c=10.8172 alpha=159.65 beta=159.65 gamma=28.93
With the nearest neighbours (Å) after each atom.
Fractional positions:
Zr  0.0000  0.0000  0.0000  4 Tc 2.70, 4 Ag 2.96
Zr  0.7500  0.2500  0.5000  4 Tc 2.70, 4 Ag 2.96
Tc  0.2500  0.7500  0.5000  4 Zr 2.70, 4 Ag 2.94
Tc  0.5000  0.5000  0.0000  4 Zr 2.70, 4 Ag 2.94
Ag  0.1325  0.6250  0.0075  4 Ag 2.66-2.74, 2 Tc 2.94, 2 Zr 2.96
Ag  0.3750  0.3825  0.5075  4 Ag 2.66-2.74, 2 Tc 2.94, 2 Zr 2.96
Ag  0.6175  0.1250  0.9925  4 Ag 2.66-2.74, 2 Tc 2.94, 2 Zr 2.96
Ag  0.8750  0.8675  0.4925  4 Ag 2.66-2.74, 2 Tc 2.94, 2 Zr 2.96

Summary:
Symmetry: I-42d, No. 122



No. 6
This record from the Alexandria database describes crystalline ZrTcAg2 at its relaxed geometry. The functional is PBE.

Unit cell a=2.8840 b=2.8840 c=9.1459 alpha=90.00 beta=90.00 gamma=107.40
With the nearest neighbours (Å) after each atom.
Fractional positions:
Zr  0.0000  0.0000  0.0000  2 Tc 2.68, 4 Zr 2.88
Tc  0.5000  0.5000  0.7737  2 Zr 2.68, 2 Ag 2.85, 4 Tc 2.88
Ag  0.0000  0.0000  0.5243  2 Tc 2.85, 6 Ag 2.88
Ag  0.5000  0.5000  0.2709  6 Ag 2.88, 2 Zr 3.01

Summary:
Symmetry: Cmm2, No. 35



No. 7
This record from the Alexandria database describes crystalline Zr4TcAg at its relaxed geometry. The functional is PBE.

Unit cell a=4.7931 b=4.7931 c=7.6162 alpha=108.24 beta=108.24 gamma=59.72
With the nearest neighbours (Å) after each atom.
Fractional positions:
Zr  0.1202  0.1202  0.3588  1 Tc 2.55
Zr  0.3658  0.3658  0.0970  3 Tc 2.84-2.86, 1 Ag 2.86, 3 Zr 3.09
Zr  0.6342  0.6342  0.9030  3 Tc 2.84-2.86, 1 Ag 2.86, 3 Zr 3.09
Zr  0.8798  0.8798  0.6412  1 Tc 2.55
Tc  0.0000  0.0000  0.0000  6 Zr 2.55-2.84
Ag  0.5000  0.5000  0.5000  8 Zr 2.86-2.95

Summary:
Symmetry: C2/m, No. 12



No. 8
This record from the Alexandria database describes crystalline ZrTcAg at its relaxed geometry. The functional is PBE.

Unit cell a=5.3877 b=5.3877 c=6.0470 alpha=117.47 beta=117.47 gamma=46.19
With the nearest neighbours (Å) after each atom.
Fractional positions:
Zr  0.0000  0.0000  0.0000  6 Ag 3.01-3.02, 4 Tc 3.02, 2 Zr 3.02
Zr  0.0000  0.0000  0.5000  2 Tc 2.76, 4 Ag 2.88, 2 Zr 3.02
Tc  0.3071  0.3071  0.6138  2 Tc 2.47
Tc  0.6929  0.6929  0.3862  2 Tc 2.47
Ag  0.3385  0.3385  0.1392  2 Ag 2.72, 5 Zr 2.88-3.02, 2 Tc 3.03-3.04
Ag  0.6615  0.6615  0.8608  2 Ag 2.72, 5 Zr 2.88-3.02, 2 Tc 3.03-3.04

Summary:
Symmetry: C2/m, No. 12



No. 9
This record from the Alexandria database describes crystalline ZrTc2Ag2 at its relaxed geometry. The functional is PBE.

Unit cell a=7.8567 b=7.8567 c=2.9039 alpha=90.00 beta=90.00 gamma=90.00
With the nearest neighbours (Å) after each atom.
Fractional positions:
Zr  0.0000  0.0000  0.0000  2 Zr 2.90, 8 Ag 3.21, 4 Tc 3.22
Zr  0.5000  0.5000  0.0000  2 Zr 2.90, 8 Ag 3.21, 4 Tc 3.22
Tc  0.1034  0.3966  0.0000  1 Tc 2.30
Tc  0.3966  0.8966  0.0000  1 Tc 2.30
Tc  0.6034  0.1034  0.0000  1 Tc 2.30
Tc  0.8966  0.6034  0.0000  1 Tc 2.30
Ag  0.1889  0.6889  0.5000  6 Tc 2.73-2.80, 2 Ag 2.90
Ag  0.3111  0.1889  0.5000  6 Tc 2.73-2.80, 2 Ag 2.90
Ag  0.6889  0.8111  0.5000  6 Tc 2.73-2.80, 2 Ag 2.90
Ag  0.8111  0.3111  0.5000  6 Tc 2.73-2.80, 2 Ag 2.90

Summary:
Symmetry: P4/mbm, No. 127



No. 10
This record from the Alexandria database describes crystalline ZrTcAg at its relaxed geometry. The functional is PBE.

Unit cell a=4.4868 b=4.4868 c=4.4868 alpha=60.00 beta=60.00 gamma=60.00
With the nearest neighbours (Å) after each atom.
Fractional positions:
Zr  0.0000  0.0000  0.0000  4 Tc 2.75, 4 Ag 2.75
Tc  0.7500  0.7500  0.7500  4 Zr 2.75
Ag  0.2500  0.2500  0.2500  4 Zr 2.75

Summary:
Symmetry: F-43m, No. 216



No. 11
This record from the Alexandria database describes crystalline ZrTcAg2 at its relaxed geometry. The functional is PBE.

Unit cell a=5.2802 b=5.2802 c=2.8253 alpha=90.00 beta=90.00 gamma=116.45
With the nearest neighbours (Å) after each atom.
Fractional positions:
Zr  0.0000  0.0000  0.0000  2 Tc 2.78, 2 Zr 2.83, 8 Ag 2.99
Tc  0.5000  0.5000  0.0000  2 Zr 2.78, 2 Tc 2.83, 8 Ag 2.99
Ag  0.0000  0.5000  0.5000  4 Ag 2.78-2.83, 4 Zr 2.99, 4 Tc 2.99
Ag  0.5000  0.0000  0.5000  4 Ag 2.78-2.83, 4 Zr 2.99, 4 Tc 2.99

Summary:
Symmetry: Cmmm, No. 65



No. 12
This record from the Alexandria database describes crystalline ZrTcAg at its relaxed geometry. The functional is PBE.

Unit cell a=7.1389 b=7.1389 c=4.8439 alpha=93.09 beta=93.09 gamma=26.01
With the nearest neighbours (Å) after each atom.
Fractional positions:
Zr  0.0000  0.0000  0.0000  6 Ag 2.90-3.24, 4 Tc 2.93, 2 Zr 3.21
Zr  0.1870  0.1870  0.5320  5 Tc 2.71-2.92, 4 Ag 2.84-2.88
Tc  0.3236  0.3236  0.9533  2 Tc 2.65, 3 Zr 2.71-2.93, 4 Ag 2.92-2.96
Tc  0.6765  0.6765  0.0336  2 Tc 2.65, 6 Zr 2.90-2.93
Ag  0.5187  0.5187  0.5080  2 Ag 2.78, 6 Zr 2.84-2.94
Ag  0.8555  0.8555  0.4527  2 Ag 2.78, 3 Zr 2.88-3.06, 4 Tc 2.92-2.96

Summary:
Symmetry: Cm, No. 8



No. 13
This record from the Alexandria database describes crystalline Zr4TcAg at its relaxed geometry. The functional is PBE.

Unit cell a=5.6171 b=5.6171 c=5.6171 alpha=60.00 beta=60.00 gamma=60.00
With the nearest neighbours (Å) after each atom.
Fractional positions:
Zr  0.3766  0.3766  0.3766  6 Zr 2.77-2.84
Zr  0.3766  0.3766  0.8703  6 Zr 2.77-2.84
Zr  0.3766  0.8703  0.3766  6 Zr 2.77-2.84
Zr  0.8703  0.3766  0.3766  6 Zr 2.77-2.84
Tc  0.7500  0.7500  0.7500  12 Zr 3.29, 4 Ag 3.44
Ag  0.0000  0.0000  0.0000  12 Zr 3.30, 4 Tc 3.44

Summary:
Symmetry: F-43m, No. 216



No. 14
This record from the Alexandria database describes crystalline ZrTcAg2 at its relaxed geometry. The functional is PBE.

Unit cell a=2.7948 b=4.9394 c=5.3024 alpha=90.00 beta=102.98 gamma=90.00
With the nearest neighbours (Å) after each atom.
Fractional positions:
Zr  0.0000  0.0000  0.0000  2 Tc 2.71, 2 Zr 2.79
Tc  0.5000  0.0000  0.5000  2 Zr 2.71, 2 Tc 2.79, 4 Ag 2.88
Ag  0.3073  0.5000  0.7380  5 Ag 2.72-2.96, 2 Tc 2.88
Ag  0.6927  0.5000  0.2620  5 Ag 2.72-2.96, 2 Tc 2.88

Summary:
Symmetry: P2/m, No. 10



No. 15
This record from the Alexandria database describes crystalline ZrTcAg at its relaxed geometry. The functional is PBE.

Unit cell a=5.4193 b=5.4193 c=6.9861 alpha=111.52 beta=111.52 gamma=35.23
With the nearest neighbours (Å) after each atom.
Fractional positions:
Zr  0.0000  0.0000  0.0000  4 Tc 2.95, 6 Ag 3.03-3.06, 2 Zr 3.28
Zr  0.0000  0.0000  0.5000  4 Tc 2.77, 4 Ag 2.87
Tc  0.3362  0.3362  0.6352  2 Tc 2.62, 2 Zr 2.77
Tc  0.6638  0.6638  0.3648  2 Tc 2.62, 2 Zr 2.77
Ag  0.3172  0.3172  0.1684  2 Ag 2.76, 5 Zr 2.87-3.06, 2 Tc 2.96
Ag  0.6828  0.6828  0.8316  2 Ag 2.76, 5 Zr 2.87-3.06, 2 Tc 2.96

Summary:
Symmetry: C2/m, No. 12



No. 16
This record from the Alexandria database describes crystalline ZrTc2Ag at its relaxed geometry. The functional is PBE.

Unit cell a=10.1794 b=10.1794 c=10.1794 alpha=157.62 beta=157.62 gamma=31.85
With the nearest neighbours (Å) after each atom.
Fractional positions:
Zr  0.0000  0.0000  0.0000  4 Tc 2.73, 4 Ag 2.79
Zr  0.7500  0.2500  0.5000  4 Tc 2.73, 4 Ag 2.79
Tc  0.0568  0.6250  0.9318  2 Tc 2.44, 2 Zr 2.73
Tc  0.3750  0.3068  0.4318  2 Tc 2.44, 2 Zr 2.73
Tc  0.6932  0.1250  0.0682  2 Tc 2.44, 2 Zr 2.73
Tc  0.8750  0.9432  0.5682  2 Tc 2.44, 2 Zr 2.73
Ag  0.2500  0.7500  0.5000  4 Zr 2.79, 4 Tc 2.92
Ag  0.5000  0.5000  0.0000  4 Zr 2.79, 4 Tc 2.92

Summary:
Symmetry: I-42d, No. 122



No. 17
This record from the Alexandria database describes crystalline ZrTc2Ag at its relaxed geometry. The functional is PBE.

Unit cell a=2.7132 b=2.7132 c=9.2547 alpha=90.00 beta=90.00 gamma=90.00
With the nearest neighbours (Å) after each atom.
Fractional positions:
Zr  0.0000  0.0000  0.0000  4 Zr 2.71
Tc  0.5000  0.5000  0.2573  4 Tc 2.71, 4 Ag 2.95
Tc  0.5000  0.5000  0.7427  4 Tc 2.71, 4 Ag 2.95
Ag  0.0000  0.0000  0.5000  4 Ag 2.71, 8 Tc 2.95

Summary:
Symmetry: P4/mmm, No. 123



No. 18
This record from the Alexandria database describes crystalline ZrTcAg2 at its relaxed geometry. The functional is PBE.

Unit cell a=2.9153 b=2.9153 c=8.5569 alpha=90.00 beta=90.00 gamma=90.00
With the nearest neighbours (Å) after each atom.
Fractional positions:
Zr  0.0000  0.0000  0.0000  4 Tc 2.90, 4 Zr 2.92, 4 Ag 3.12
Tc  0.5000  0.5000  0.7615  4 Zr 2.90, 4 Ag 2.91, 4 Tc 2.92
Ag  0.0000  0.0000  0.5214  4 Tc 2.91, 8 Ag 2.92-2.96
Ag  0.5000  0.5000  0.2730  8 Ag 2.92-2.96, 4 Zr 3.12

Summary:
Symmetry: P4mm, No. 99



No. 19
This record from the Alexandria database describes crystalline ZrTc2Ag at its relaxed geometry. The functional is PBE.

Unit cell a=3.9890 b=3.9890 c=4.2123 alpha=90.00 beta=90.00 gamma=90.00
With the nearest neighbours (Å) after each atom.
Fractional positions:
Zr  0.0000  0.0000  0.0000  4 Ag 2.82, 8 Tc 2.90
Tc  0.0000  0.5000  0.5000  4 Tc 2.82, 4 Ag 2.90, 4 Zr 2.90
Tc  0.5000  0.0000  0.5000  4 Tc 2.82, 4 Ag 2.90, 4 Zr 2.90
Ag  0.5000  0.5000  0.0000  4 Zr 2.82, 8 Tc 2.90

Summary:
Symmetry: P4/mmm, No. 123



No. 20
This record from the Alexandria database describes crystalline ZrTc2Ag at its relaxed geometry. The functional is PBE.

Unit cell a=3.3848 b=3.3848 c=5.9665 alpha=90.00 beta=90.00 gamma=90.00
With the nearest neighbours (Å) after each atom.
Fractional positions:
Zr  0.0000  0.0000  0.0000  8 Tc 2.79, 2 Ag 2.98
Tc  0.5000  0.5000  0.2396  4 Zr 2.79, 4 Ag 2.85, 2 Tc 2.86-3.11
Tc  0.5000  0.5000  0.7604  4 Zr 2.79, 4 Ag 2.85, 2 Tc 2.86-3.11
Ag  0.0000  0.0000  0.5000  8 Tc 2.85, 2 Zr 2.98

Summary:
Symmetry: P4/mmm, No. 123



no.,total moment (μB/cell),electronic total energy (eV for the cell shown),formation energy from the elements (kJ/mol of formula units)
1,0.00,-27.8,245
2,0.00,-31.2,95
3,2.87,-32.8,939
4,0.00,-51.1,-177
5,0.00,-45.8,164
6,0.00,-24.0,59
7,0.00,-46.1,122
8,0.00,-43.1,21
9,0.00,-65.1,233
10,0.29,-19.1,258
11,0.00,-23.6,96
12,0.00,-43.2,17
13,0.00,-43.9,335
14,0.00,-23.8,80
15,0.00,-43.2,15
16,0.00,-59.4,233
17,0.00,-30.6,151
18,1.13,-23.7,87
19,0.00,-31.5,58
20,0.00,-30.8,126